A plane-wave DFT calculation with GGA-PBE was carried out for an optimized crystal structure of BaSc2Cl.

Its polymorph energy (0 for the lowest one) is 179 meV/atom. The calculation puts the total magnetization at 0.00 Bohr magnetons per cell.

The structure belongs to space group R-3m (No. 166, hexagonal axes); the cell edges are 3.5497, 3.5497 and 29.7451 Å and the angles 90.00°, 90.00° and 120.00°. The inequivalent atoms are Ba at (0.0000, 0.0000, 0.0000), Sc at (0.0000, 0.0000, 0.2321) and Cl at (0.0000, 0.0000, 0.5000).